# 1
A relaxed structure of AlTe2As, computed with PBE.

Results
total magnetization	0.00	μB/f.u.
total energy	-3.2734	eV per atom
energy relative to the elements, uncorrected	0.3955	eV/atom
ΔE to the lowest computed polymorph	454.1	meV/atom

abc: 5.1275 5.1275 5.1275
angles: 60.00 60.00 60.00
Element x y z (fractional)
Al1 0.5000 0.5000 0.5000
Te1 0.7500 0.7500 0.7500
Te2 0.0000 0.0000 0.0000
As1 0.2500 0.2500 0.2500

# 2
A relaxed structure of AlTe2As, computed with PBE.

Results
total magnetization	0.00	μB/f.u.
total energy	-3.5794	eV per atom
energy relative to the elements, uncorrected	0.0895	eV/atom
ΔE to the lowest computed polymorph	148.1	meV/atom

abc: 6.4210 6.4210 6.4210
angles: 145.14 134.40 58.66
Element x y z (fractional)
Te1 0.6818 0.1818 0.5000
As1 0.3413 0.8413 0.5000
Al1 0.5050 0.5050 0.0000
Te2 0.9719 0.9719 0.0000

# 3
A relaxed structure of AlTe2As, computed with PBE.

Results
total magnetization	0.00	μB/f.u.
total energy	-3.4722	eV per atom
energy relative to the elements, uncorrected	0.1967	eV/atom
ΔE to the lowest computed polymorph	255.3	meV/atom

abc: 3.9534 7.9501 3.9579
angles: 90.00 90.00 90.00
Element x y z (fractional)
Al1 0.5000 0.0000 0.5000
Te1 0.0000 0.0000 0.0000
Te2 0.5000 0.5000 0.0000
As1 0.0000 0.5000 0.5000

# 4
A relaxed structure of AlTe2As, computed with PBE.

Results
total magnetization	0.00	μB/f.u.
total energy	-3.4669	eV per atom
energy relative to the elements, uncorrected	0.2020	eV/atom
ΔE to the lowest computed polymorph	260.6	meV/atom

abc: 8.4541 8.4541 8.4541
angles: 153.00 153.00 38.56
Element x y z (fractional)
As1 0.7500 0.2500 0.5000
Te1 0.2500 0.7500 0.5000
Al1 0.5000 0.5000 0.0000
Te2 0.0000 0.0000 0.0000

# 5
A relaxed structure of AlTeAs2, computed with PBE.

Results
total magnetization	0.00	μB/f.u.
total energy	-3.7017	eV per atom
energy relative to the elements, uncorrected	0.3442	eV/atom
ΔE to the lowest computed polymorph	406.8	meV/atom

abc: 5.6557 5.5792 3.2446
angles: 78.86 78.91 116.80
Element x y z (fractional)
As1 0.0000 0.0000 0.0000
Te1 0.0000 0.5000 0.5000
As2 0.5000 0.0000 0.5000
Al1 0.5000 0.5000 0.0000

# 6
A relaxed structure of AlTeAs2, computed with PBE.

Results
total magnetization	0.00	μB/f.u.
total energy	-4.0727	eV per atom
energy relative to the elements, uncorrected	-0.0268	eV/atom
ΔE to the lowest computed polymorph	35.8	meV/atom

abc: 3.9475 4.5896 5.3584
angles: 72.51 90.00 90.00
Element x y z (fractional)
As1 0.0000 0.0083 0.9340
Te1 0.5000 0.2500 0.2500
As2 0.0000 0.4917 0.5660
Al1 0.5000 0.7500 0.7500

# 7
A relaxed structure of AlTe2As, computed with PBE.

Results
total magnetization	0.00	μB/f.u.
total energy	-3.4660	eV per atom
energy relative to the elements, uncorrected	0.2029	eV/atom
ΔE to the lowest computed polymorph	261.5	meV/atom

abc: 3.0740 3.0740 11.3099
angles: 90.00 90.00 104.20
Element x y z (fractional)
As1 0.5000 0.5000 0.6838
Te1 0.5000 0.5000 0.3058
Te2 0.0000 0.0000 0.9866
Al1 0.0000 0.0000 0.5238

# 8
A relaxed structure of AlTeAs, computed with PBE.

Results
total magnetization	0.00	μB/f.u.
total energy	-3.6395	eV per atom
energy relative to the elements, uncorrected	0.2051	eV/atom

abc: 4.6954 4.6954 4.6954
angles: 60.00 60.00 60.00
Element x y z (fractional)
Te1 0.5000 0.5000 0.5000
Al1 0.7500 0.7500 0.7500
As1 0.0000 0.0000 0.0000

# 9
A relaxed structure of AlTe2As, computed with PBE.

Results
total magnetization	0.00	μB/f.u.
total energy	-3.7256	eV per atom
energy relative to the elements, uncorrected	-0.0568	eV/atom
ΔE to the lowest computed polymorph	1.9	meV/atom

abc: 3.9491 4.6096 6.8967
angles: 68.85 90.00 90.00
Element x y z (fractional)
Al1 0.0000 0.4674 0.5675
Te1 0.0000 0.9683 0.9188
As1 0.5000 0.7679 0.6699
Te2 0.5000 0.2964 0.3438

# 10
A relaxed structure of AlTeAs2, computed with PBE.

Results
total magnetization	0.00	μB/f.u.
total energy	-4.0556	eV per atom
energy relative to the elements, uncorrected	-0.0098	eV/atom
ΔE to the lowest computed polymorph	52.8	meV/atom

abc: 3.9557 4.9559 4.9586
angles: 70.16 90.00 90.00
Element x y z (fractional)
As1 0.5000 0.2248 0.2245
Al1 0.5000 0.7587 0.7593
Te1 0.0000 0.5114 0.5113
As2 0.0000 0.0051 0.0049

# 11
A relaxed structure of AlTeAs2, computed with PBE.

Results
total magnetization	0.00	μB/f.u.
total energy	-3.9172	eV per atom
energy relative to the elements, uncorrected	0.1286	eV/atom
ΔE to the lowest computed polymorph	191.2	meV/atom

abc: 3.2981 3.2981 9.0261
angles: 90.00 90.00 90.00
Element x y z (fractional)
Al1 0.5000 0.5000 0.7500
Te1 0.5000 0.5000 0.2500
As1 0.0000 0.0000 0.8946
As2 0.0000 0.0000 0.6054

# 12
A relaxed structure of AlTeAs, computed with PBE.

Results
total magnetization	0.00	μB/f.u.
total energy	-3.6540	eV per atom
energy relative to the elements, uncorrected	0.1906	eV/atom

abc: 7.6165 7.3916 3.2570
angles: 81.36 73.63 25.01
Element x y z (fractional)
As1 0.3714 0.3714 0.6286
Al1 0.9868 0.9868 0.0132
Te1 0.6418 0.6418 0.3582

# 13
A relaxed structure of AlTeAs2, computed with PBE.

Results
total magnetization	0.00	μB/f.u.
total energy	-4.1084	eV per atom
energy relative to the elements, uncorrected	-0.0626	eV/atom
ΔE to the lowest computed polymorph	0.0	meV/atom

abc: 7.4260 7.4260 7.4260
angles: 30.66 30.66 30.66
Element x y z (fractional)
Al1 0.7493 0.7493 0.7493
As1 0.9975 0.9975 0.9975
Te1 0.4860 0.4860 0.4860
As2 0.2672 0.2672 0.2672

# 14
A relaxed structure of AlTeAs, computed with PBE.

Results
total magnetization	0.00	μB/f.u.
total energy	-3.3262	eV per atom
energy relative to the elements, uncorrected	0.5184	eV/atom

abc: 4.8490 4.8490 4.8490
angles: 60.00 60.00 60.00
Element x y z (fractional)
Al1 0.0000 0.0000 0.0000
As1 0.5000 0.5000 0.5000
Te1 0.7500 0.7500 0.7500

# 15
A relaxed structure of AlTeAs2, computed with PBE.

Results
total magnetization	0.00	μB/f.u.
total energy	-3.6758	eV per atom
energy relative to the elements, uncorrected	0.3700	eV/atom
ΔE to the lowest computed polymorph	432.6	meV/atom

abc: 4.8983 4.8983 4.8983
angles: 60.00 60.00 60.00
Element x y z (fractional)
As1 0.2500 0.2500 0.2500
Te1 0.7500 0.7500 0.7500
Al1 0.5000 0.5000 0.5000
As2 0.0000 0.0000 0.0000

# 16
A relaxed structure of AlTeAs, computed with PBE.

Results
total magnetization	0.00	μB/f.u.
total energy	-3.9024	eV per atom
energy relative to the elements, uncorrected	-0.0578	eV/atom

abc: 4.0087 4.0087 5.0354
angles: 90.00 90.00 120.00
Element x y z (fractional)
As1 0.6667 0.3333 0.2672
Te1 0.3333 0.6667 0.6975
Al1 0.0000 0.0000 0.0354

# 17
A relaxed structure of AlTeAs, computed with PBE.

Results
total magnetization	0.00	μB/f.u.
total energy	-4.0011	eV per atom
energy relative to the elements, uncorrected	-0.1566	eV/atom

abc: 4.0409 5.9202 7.9260
angles: 76.29 88.95 70.45
Element x y z (fractional)
As1 0.9174 0.7209 0.5262
Al1 0.3511 0.8428 0.6702
Al2 0.6489 0.1572 0.3298
As2 0.0826 0.2791 0.4738
Te1 0.3728 0.7554 0.0118
Te2 0.6272 0.2446 0.9882

# 18
A relaxed structure of AlTeAs, computed with PBE.

Results
total magnetization	0.00	μB/f.u.
total energy	-3.7372	eV per atom
energy relative to the elements, uncorrected	0.1074	eV/atom

abc: 5.8669 5.8669 5.8669
angles: 143.47 143.47 52.63
Element x y z (fractional)
Te1 0.6422 0.6422 0.0000
Al1 0.9696 0.9696 0.0000
As1 0.3881 0.3881 0.0000

# 19
A relaxed structure of AlTeAs2, computed with PBE.

Results
total magnetization	0.00	μB/f.u.
total energy	-3.7730	eV per atom
energy relative to the elements, uncorrected	0.2729	eV/atom
ΔE to the lowest computed polymorph	335.5	meV/atom

abc: 3.4021 3.4021 9.1523
angles: 90.00 90.00 114.37
Element x y z (fractional)
Al1 0.5000 0.5000 0.7753
As1 0.0000 0.0000 0.9877
Te1 0.0000 0.0000 0.5547
As2 0.5000 0.5000 0.1823

# 20
A relaxed structure of AlTe2As, computed with PBE.

Results
total magnetization	0.00	μB/f.u.
total energy	-3.7275	eV per atom
energy relative to the elements, uncorrected	-0.0587	eV/atom
ΔE to the lowest computed polymorph	0.0	meV/atom

abc: 3.5305 3.5305 9.0175
angles: 90.00 90.00 90.00
Element x y z (fractional)
Te1 0.5000 0.5000 0.3040
Te2 0.0000 0.0000 0.9505
As1 0.5000 0.5000 0.5876
Al1 0.0000 0.0000 0.6578